Record 1
A relaxed structure of PrYTeP, computed with PBE.

Structure (POSCAR):
```
PrYTeP
1.0
4.166 0.000 0.000
-2.083 3.608 0.000
0.000 0.000 22.188
Pr Y Te P
3 3 3 3
Direct
0.000 0.000 0.000
0.333 0.667 0.667
0.667 0.333 0.333
0.000 0.000 0.807
0.333 0.667 0.474
0.667 0.333 0.141
0.000 0.000 0.233
0.333 0.667 0.900
0.667 0.333 0.566
0.000 0.000 0.409
0.333 0.667 0.076
0.667 0.333 0.742
```

Output
Formation energy (no corrections) = -35.72 kcal/mol of atoms
Density of states at the Fermi level = 8.65 states/eV/cell
Space-group type = R3m
Theoretical density = 5.80 g cm⁻³



Record 2
A relaxed structure of Li3TbEr2Te6, computed with PBE.

Structure (POSCAR):
```
Li3TbEr2Te6
1.0
3.749 -6.494 0.000
3.749 6.494 0.000
-2.500 0.000 7.055
Li Tb Er Te
3 1 2 6
Direct
0.000 0.000 0.000
0.333 0.667 0.000
0.667 0.333 0.000
0.500 0.500 0.500
0.167 0.833 0.500
0.833 0.167 0.500
0.079 0.415 0.246
0.249 0.249 0.755
0.415 0.079 0.246
0.585 0.921 0.754
0.751 0.751 0.245
0.921 0.585 0.754
```

Output
Formation energy (no corrections) = -29.65 kcal/mol of atoms
Space-group type = C2/m
Theoretical density = 6.19 g cm⁻³